# PuBi3Pd2 PBE relaxed
data_PuBi3Pd2
_chemical_formula_sum 'Pu2 Bi6 Pd4'
_symmetry_space_group_name_H-M 'P -3 m 1'
_symmetry_Int_Tables_number 164
_symmetry_space_group_name_Hall '-P 3 2"'
_cell_length_a 8.8638
_cell_length_b 8.8638
_cell_length_c 4.7390
_cell_angle_alpha 90.00
_cell_angle_beta 90.00
_cell_angle_gamma 120.00
loop_
_atom_site_label
_atom_site_type_symbol
_atom_site_fract_x
_atom_site_fract_y
_atom_site_fract_z
Pu1 Pu 0.3333 0.6667 0.1831
Bi1 Bi 0.1657 0.3314 0.7465
Pd1 Pd 0.0000 0.0000 0.5000
Pd2 Pd 0.0000 0.5000 0.5000
# * uncorrected energy: -0.2313 Ha/atom
# * total magnetic moment: 10.79 μB/cell

# Pu3Bi2Pd7 PBE relaxed
data_Pu3Bi2Pd7
_chemical_formula_sum 'Pu9 Bi6 Pd21'
_symmetry_space_group_name_H-M 'R -3 m'
_symmetry_Int_Tables_number 166
_symmetry_space_group_name_Hall '-R 3 2"'
_cell_length_a 5.6787
_cell_length_b 5.6787
_cell_length_c 27.0566
_cell_angle_alpha 90.00
_cell_angle_beta 90.00
_cell_angle_gamma 120.00
loop_
_atom_site_label
_atom_site_type_symbol
_atom_site_fract_x
_atom_site_fract_y
_atom_site_fract_z
Pu1 Pu 0.0000 0.0000 0.0000
Pu2 Pu 0.0000 0.0000 0.1436
Bi1 Bi 0.0000 0.0000 0.3318
Pd1 Pd 0.0000 0.0000 0.5000
Pd2 Pd 0.0053 0.5027 0.9108
# * uncorrected energy: -0.2795 Ha/atom
# * total magnetic moment: 50.44 μB/cell

# Pu4Bi8Pd3 PBE relaxed
data_Pu4Bi8Pd3
_chemical_formula_sum 'Pu4 Bi8 Pd3'
_symmetry_space_group_name_H-M 'P -4 m 2'
_symmetry_Int_Tables_number 115
_cell_length_a 4.570
_cell_length_b 4.570
_cell_length_c 18.731
_cell_angle_alpha 90.00
_cell_angle_beta 90.00
_cell_angle_gamma 90.00
loop_
_symmetry_equiv_pos_as_xyz
'x,y,z'
'y,-x,-z'
'-x,-y,z'
'-y,x,-z'
'-x,y,z'
'-y,-x,-z'
'x,-y,z'
'y,x,-z'
loop_
_atom_site_label
_atom_site_type_symbol
_atom_site_fract_x
_atom_site_fract_y
_atom_site_fract_z
Pu1 Pu 0.000 0.500 0.110
Pu2 Pu 0.000 0.500 0.617
Bi1 Bi 0.000 0.000 0.246
Bi2 Bi 0.000 0.500 0.407
Bi3 Bi 0.000 0.500 0.916
Bi4 Bi 0.500 0.500 0.247
Pd1 Pd 0.000 0.000 0.000
Pd2 Pd 0.000 0.000 0.500
Pd3 Pd 0.500 0.500 0.500
# * uncorrected energy: -0.2464 Ha/atom
# * total magnetic moment: 0.10 μB/cell

# PuBi2Sb2Pd7 PBE relaxed
data_PuBi2Sb2Pd7
_chemical_formula_sum 'Pu2 Bi4 Sb4 Pd14'
_symmetry_space_group_name_H-M 'C 1 2/m 1'
_symmetry_Int_Tables_number 12
_cell_length_a 5.850
_cell_length_b 5.838
_cell_length_c 15.253
_cell_angle_alpha 90.00
_cell_angle_beta 96.33
_cell_angle_gamma 90.00
loop_
_symmetry_equiv_pos_as_xyz
'x,y,z'
'-x,-y,-z'
'-x,y,-z'
'x,-y,z'
'x+1/2,y+1/2,z'
'-x+1/2,-y+1/2,-z'
'-x+1/2,y+1/2,-z'
'x+1/2,-y+1/2,z'
loop_
_atom_site_label
_atom_site_type_symbol
_atom_site_fract_x
_atom_site_fract_y
_atom_site_fract_z
Pu1 Pu 0.000 0.000 0.000
Bi1 Bi 0.128 0.000 0.406
Sb1 Sb 0.072 0.500 0.250
Pd1 Pd 0.000 0.500 0.000
Pd2 Pd 0.136 0.500 0.425
Pd3 Pd 0.210 0.250 0.860
# * uncorrected energy: -0.2172 Ha/atom
# * total magnetic moment: 9.62 μB/cell
# * raw formation energy: -407 kJ/mol of formula units

# Sr2PuBi3Pd4 PBE relaxed
data_Sr2PuBi3Pd4
_chemical_formula_sum 'Sr2 Pu1 Bi3 Pd4'
_symmetry_space_group_name_H-M 'P -4 m 2'
_symmetry_Int_Tables_number 115
_cell_length_a 4.750
_cell_length_b 4.750
_cell_length_c 11.702
_cell_angle_alpha 90.00
_cell_angle_beta 90.00
_cell_angle_gamma 90.00
loop_
_symmetry_equiv_pos_as_xyz
'x,y,z'
'y,-x,-z'
'-x,-y,z'
'-y,x,-z'
'-x,y,z'
'-y,-x,-z'
'x,-y,z'
'y,x,-z'
loop_
_atom_site_label
_atom_site_type_symbol
_atom_site_fract_x
_atom_site_fract_y
_atom_site_fract_z
Sr1 Sr 0.000 0.500 0.222
Pu1 Pu 0.000 0.000 0.500
Bi1 Bi 0.000 0.500 0.875
Bi2 Bi 0.500 0.500 0.500
Pd1 Pd 0.000 0.000 0.000
Pd2 Pd 0.000 0.500 0.642
Pd3 Pd 0.500 0.500 0.000
# * uncorrected energy: -0.2052 Ha/atom
# * total magnetic moment: 5.60 μB/cell

# Pu2ThBi2Pd2 PBE relaxed
data_Pu2ThBi2Pd2
_chemical_formula_sum 'Pu6 Th3 Bi6 Pd6'
_symmetry_space_group_name_H-M 'R -3 m'
_symmetry_Int_Tables_number 166
_symmetry_space_group_name_Hall '-R 3 2"'
_cell_length_a 4.8349
_cell_length_b 4.8349
_cell_length_c 26.2390
_cell_angle_alpha 90.00
_cell_angle_beta 90.00
_cell_angle_gamma 120.00
loop_
_atom_site_label
_atom_site_type_symbol
_atom_site_fract_x
_atom_site_fract_y
_atom_site_fract_z
Pu1 Pu 0.0000 0.0000 0.1418
Th1 Th 0.0000 0.0000 0.0000
Bi1 Bi 0.0000 0.0000 0.2669
Pd1 Pd 0.0000 0.0000 0.4424
# * uncorrected energy: -0.3013 Ha/atom
# * total magnetic moment: 34.70 μB/cell

# PuTlBiPd PBE relaxed
data_PuTlBiPd
_chemical_formula_sum 'Pu4 Tl4 Bi4 Pd4'
_symmetry_space_group_name_H-M 'F -4 3 m'
_symmetry_Int_Tables_number 216
_symmetry_space_group_name_Hall 'F -4 2 3'
_cell_length_a 7.329
_cell_length_b 7.329
_cell_length_c 7.329
_cell_angle_alpha 90.00
_cell_angle_beta 90.00
_cell_angle_gamma 90.00
loop_
_atom_site_label
_atom_site_type_symbol
_atom_site_fract_x
_atom_site_fract_y
_atom_site_fract_z
Pu1 Pu 0.000 0.000 0.000
Tl1 Tl 0.250 0.250 0.250
Bi1 Bi 0.250 0.250 0.750
Pd1 Pd 0.000 0.000 0.500
# * uncorrected energy: -0.2432 Ha/atom
# * total magnetic moment: 23.56 μB/cell

# PuZnBiPd PBE relaxed
data_PuZnBiPd
_chemical_formula_sum 'Pu4 Zn4 Bi4 Pd4'
_symmetry_space_group_name_H-M 'F -4 3 m'
_symmetry_Int_Tables_number 216
_symmetry_space_group_name_Hall 'F -4 2 3'
_cell_length_a 7.048
_cell_length_b 7.048
_cell_length_c 7.048
_cell_angle_alpha 90.00
_cell_angle_beta 90.00
_cell_angle_gamma 90.00
loop_
_atom_site_label
_atom_site_type_symbol
_atom_site_fract_x
_atom_site_fract_y
_atom_site_fract_z
Pu1 Pu 0.000 0.000 0.000
Zn1 Zn 0.250 0.250 0.250
Bi1 Bi 0.000 0.000 0.500
Pd1 Pd 0.250 0.250 0.750
# * uncorrected energy: -0.2368 Ha/atom
# * total magnetic moment: 21.45 μB/cell